Computed, not measured: crystalline Mg6AlGa12 at its relaxed geometry at the GGA-PBE level of DFT. Values from VASP.

Computed properties:
- total moment (μB per formula unit) = 0.0
- calculated formation energy (eV per atom) = -0.05
- SG = R-3, No. 148

Geometry as Quantum ESPRESSO input:
```
&SYSTEM
  ibrav = 0, nat = 19, ntyp = 3
/
ATOMIC_SPECIES
Mg 24.30 Mg.upf
Al 26.98 Al.upf
Ga 69.72 Ga.upf
CELL_PARAMETERS angstrom
7.199 0.241 -1.558
-1.980 6.926 -1.558
0.175 0.241 7.364
ATOMIC_POSITIONS angstrom
Mg 1.875 1.445 5.071
Mg 5.667 1.853 3.615
Mg 0.277 5.179 4.660
Mg 3.520 5.962 -0.824
Mg -0.272 5.554 0.632
Mg 5.117 2.228 -0.413
Al 0.000 0.000 0.000
Ga 3.037 1.632 2.502
Ga 0.589 3.494 2.364
Ga 2.578 3.391 0.017
Ga 2.358 5.775 1.745
Ga 4.806 3.913 1.883
Ga 2.817 4.016 4.230
Ga 5.217 6.449 1.593
Ga 2.781 0.464 0.210
Ga 0.108 2.789 -0.450
Ga 0.178 0.958 2.654
Ga 2.613 6.943 4.037
Ga 5.287 4.617 4.697
```

=====

Computed, not measured: crystalline Dy5Tl6Cd at its relaxed geometry at the GGA-PBE level of DFT. Values from VASP.

Computed properties:
- total moment (μB per formula unit) = 0.0
- calculated formation energy (eV per atom) = -0.28
- SG = C2/m, No. 12

Geometry as Quantum ESPRESSO input:
```
&SYSTEM
  ibrav = 0, nat = 12, ntyp = 3
/
ATOMIC_SPECIES
Tl 204.38 Tl.upf
Cd 112.41 Cd.upf
Dy 162.50 Dy.upf
CELL_PARAMETERS angstrom
4.961 0.000 -1.538
-0.856 7.248 -2.762
0.124 -0.646 9.291
ATOMIC_POSITIONS angstrom
Tl 0.523 2.862 1.704
Tl 0.106 6.398 0.357
Tl 2.251 1.947 -1.510
Tl 1.978 4.655 6.502
Tl 4.123 0.204 4.634
Tl 3.706 3.740 3.287
Cd 0.000 0.000 0.000
Dy 1.117 5.745 3.705
Dy 2.818 4.662 0.339
Dy -0.428 3.624 -1.381
Dy 1.411 1.940 4.652
Dy 3.112 0.857 1.286
```

=====

Computed, not measured: crystalline Ba7Na2Sr2 at its relaxed geometry at the GGA-PBE level of DFT. Values from VASP.

Computed properties:
- total moment (μB per formula unit) = 0.0
- energy relative to the lowest polymorph listed for this composition (eV per atom) = 0.114
- calculated formation energy (eV per atom) = 0.16
- SG = Cmmm, No. 65

Geometry as Quantum ESPRESSO input:
```
&SYSTEM
  ibrav = 0, nat = 11, ntyp = 3
/
ATOMIC_SPECIES
Ba 137.33 Ba.upf
Na 22.99 Na.upf
Sr 87.62 Sr.upf
CELL_PARAMETERS angstrom
-4.708 -4.774 4.903
-1.664 -7.200 -8.609
8.206 -1.105 -0.662
ATOMIC_POSITIONS angstrom
Ba -1.120 -7.570 1.887
Ba 4.703 -8.448 -4.134
Ba 2.954 -5.508 -6.255
Ba -2.869 -4.630 -0.234
Ba 0.000 0.000 0.000
Ba 0.383 -8.836 -4.928
Ba 1.450 -4.242 0.560
Na -2.875 -10.980 -5.213
Na 4.708 -2.099 0.845
Sr 1.816 -8.050 -1.094
Sr 0.018 -5.028 -3.274
```